1.
Density functional theory data (GGA-PBE) for a geometry-optimized In2GaSe2 structure.

Lattice parameters (Å, degrees): 7.985 7.985 3.935 90.00 90.00 90.00
Fractional positions:
1 In 0.141 0.359 0.000
2 In 0.359 0.859 0.000
3 In 0.641 0.141 0.000
4 In 0.859 0.641 0.000
5 Ga 0.000 0.000 0.000
6 Ga 0.500 0.500 0.000
7 Se 0.166 0.666 0.500
8 Se 0.334 0.166 0.500
9 Se 0.666 0.834 0.500
10 Se 0.834 0.334 0.500

Calculated values
- energy above the most stable polymorph in this dataset (meV/atom) = 35
- symmetry = No. 127
- formation energy (no corrections) (eV/atom) = -0.14

---

2.
Density functional theory data (GGA-PBE) for a geometry-optimized InGa3Se structure.

Lattice parameters (Å, degrees): 5.250 5.250 5.250 90.00 90.00 90.00
Fractional positions:
1 In 0.000 0.000 0.000
2 Ga 0.000 0.500 0.500
3 Ga 0.500 0.000 0.500
4 Ga 0.500 0.500 0.000
5 Se 0.500 0.500 0.500

Calculated values
- energy above the most stable polymorph in this dataset (meV/atom) = 0
- symmetry = No. 221
- formation energy (no corrections) (eV/atom) = 0.35

---

3.
Density functional theory data (GGA-PBE) for a geometry-optimized InGa2Se3 structure.

Lattice parameters (Å, degrees): 9.565 9.565 8.765 98.18 98.18 27.61
Fractional positions:
1 In 0.183 0.183 0.484
2 In 0.817 0.817 0.516
3 Ga 0.206 0.206 0.877
4 Ga 0.448 0.448 0.325
5 Ga 0.552 0.552 0.675
6 Ga 0.794 0.794 0.123
7 Se 0.072 0.072 0.808
8 Se 0.241 0.241 0.173
9 Se 0.415 0.415 0.591
10 Se 0.585 0.585 0.409
11 Se 0.759 0.759 0.827
12 Se 0.928 0.928 0.192

Calculated values
- symmetry = No. 12
- formation energy (no corrections) (eV/atom) = -0.41

---

4.
Density functional theory data (GGA-PBE) for a geometry-optimized InGa4Se7 structure.

Lattice parameters (Å, degrees): 15.869 6.752 6.446 90.00 90.00 90.00
Fractional positions:
1 In 0.000 0.085 0.000
2 In 0.500 0.915 0.500
3 Ga 0.125 0.343 0.516
4 Ga 0.244 0.822 0.507
5 Ga 0.256 0.178 0.007
6 Ga 0.375 0.657 0.016
7 Ga 0.625 0.657 0.016
8 Ga 0.744 0.178 0.007
9 Ga 0.756 0.822 0.507
10 Ga 0.875 0.343 0.516
11 Se 0.000 0.138 0.435
12 Se 0.117 0.674 0.389
13 Se 0.127 0.348 0.900
14 Se 0.244 0.828 0.897
15 Se 0.256 0.172 0.397
16 Se 0.373 0.652 0.400
17 Se 0.383 0.326 0.889
18 Se 0.500 0.862 0.935
19 Se 0.617 0.326 0.889
20 Se 0.627 0.652 0.400
21 Se 0.744 0.172 0.397
22 Se 0.756 0.828 0.897
23 Se 0.873 0.348 0.900
24 Se 0.883 0.674 0.389

Calculated values
- symmetry = No. 31
- formation energy (no corrections) (eV/atom) = -0.51

---

5.
Density functional theory data (GGA-PBE) for a geometry-optimized InGa2Se4 structure.

Lattice parameters (Å, degrees): 7.858 7.858 6.381 90.00 90.00 90.00
Fractional positions:
1 In 0.000 0.000 0.000
2 In 0.500 0.500 0.500
3 Ga 0.000 0.500 0.250
4 Ga 0.000 0.500 0.750
5 Ga 0.500 0.000 0.250
6 Ga 0.500 0.000 0.750
7 Se 0.163 0.673 0.500
8 Se 0.173 0.337 0.000
9 Se 0.327 0.163 0.500
10 Se 0.337 0.827 0.000
11 Se 0.663 0.173 0.000
12 Se 0.673 0.837 0.500
13 Se 0.827 0.663 0.000
14 Se 0.837 0.327 0.500

Calculated values
- energy above the most stable polymorph in this dataset (meV/atom) = 31
- symmetry = No. 87
- formation energy (no corrections) (eV/atom) = -0.45

---

6.
Density functional theory data (GGA-PBE) for a geometry-optimized InGa3Se structure.

Lattice parameters (Å, degrees): 5.242 5.242 5.242 90.00 90.00 90.00
Fractional positions:
1 In 0.000 0.000 0.000
2 Ga 0.000 0.000 0.500
3 Ga 0.000 0.500 0.000
4 Ga 0.500 0.000 0.000
5 Se 0.500 0.500 0.500

Calculated values
- energy above the most stable polymorph in this dataset (meV/atom) = 16
- symmetry = No. 221
- formation energy (no corrections) (eV/atom) = 0.37

---

7.
Density functional theory data (GGA-PBE) for a geometry-optimized In3GaSe structure.

Lattice parameters (Å, degrees): 5.622 5.622 5.622 90.00 90.00 90.00
Fractional positions:
1 In 0.000 0.000 0.500
2 In 0.000 0.500 0.000
3 In 0.500 0.000 0.000
4 Ga 0.500 0.500 0.500
5 Se 0.000 0.000 0.000

Calculated values
- energy above the most stable polymorph in this dataset (meV/atom) = 268
- symmetry = No. 221
- formation energy (no corrections) (eV/atom) = 0.40

---

8.
Density functional theory data (GGA-PBE) for a geometry-optimized In3GaSe6 structure.

Lattice parameters (Å, degrees): 9.170 9.170 6.749 90.00 90.00 107.68
Fractional positions:
1 In 0.083 0.917 0.500
2 In 0.203 0.406 0.654
3 In 0.406 0.203 0.154
4 In 0.594 0.797 0.654
5 In 0.797 0.594 0.154
6 In 0.917 0.083 0.000
7 Ga 0.299 0.701 0.210
8 Ga 0.701 0.299 0.710
9 Se 0.049 0.618 0.372
10 Se 0.129 0.209 0.316
11 Se 0.209 0.129 0.816
12 Se 0.311 0.689 0.856
13 Se 0.382 0.951 0.372
14 Se 0.440 0.560 0.411
15 Se 0.560 0.440 0.911
16 Se 0.618 0.049 0.872
17 Se 0.689 0.311 0.356
18 Se 0.791 0.871 0.316
19 Se 0.871 0.791 0.816
20 Se 0.951 0.382 0.872

Calculated values
- symmetry = No. 36
- formation energy (no corrections) (eV/atom) = -0.41

---

In the order shown, the computed mass density values come out to 6.1; 4.6; 4.4; 4.6; 4.8; 4.6; 4.6; 5.5 Mg/m³.
In the order shown, the computed DOS at the Fermi energy values come out to 0.457; 0.822; 0.228; 0.163; 0.810; 0.321; 0.868; 0.164 states/eV per atom.
In the order shown, the computed total DFT energy (no corrections) values come out to -32.3; -13.5; -43.4; -90.8; -51.8; -13.5; -12.8; -72.6 eV for the cell shown.